1.
A relaxed Nd6DyMg crystal, computed with GGA-PBE.

abc: 6.5002 6.5002 6.5002
angles: 96.63 96.63 96.63
Fractional coordinates of all 8 atoms:
Nd (0.0544, 0.7613, 0.5301)
Nd (0.2387, 0.4699, 0.9456)
Nd (0.4699, 0.9456, 0.2387)
Nd (0.5301, 0.0544, 0.7613)
Nd (0.7613, 0.5301, 0.0544)
Nd (0.9456, 0.2387, 0.4699)
Dy (0.5000, 0.5000, 0.5000)
Mg (0.0000, 0.0000, 0.0000)

Space-group type: R-3
E_tot: -4.258 eV per atom

***

2.
A relaxed Ce2SmBiC crystal, computed with GGA-PBE.

abc: 4.9710 4.9710 5.1026
angles: 90.00 90.00 90.00
Fractional coordinates of all 5 atoms:
Ce (0.0000, 0.5000, 0.0000)
Ce (0.5000, 0.0000, 0.0000)
Sm (0.0000, 0.0000, 0.5000)
Bi (0.5000, 0.5000, 0.5000)
C (0.0000, 0.0000, 0.0000)

Space-group type: P4/mmm
E_tot: -6.404 eV per atom

***

3.
A relaxed PmTiSi2 crystal, computed with GGA-PBE.

abc: 3.4709 3.4709 6.2631
angles: 90.00 90.00 90.00
Fractional coordinates of all 4 atoms:
Pm (0.0000, 0.0000, 0.0000)
Ti (0.0000, 0.0000, 0.5000)
Si (0.5000, 0.5000, 0.3113)
Si (0.5000, 0.5000, 0.6887)

Space-group type: P4/mmm
Formation energy without anion corrections: -0.477 eV/atom

***

4.
A relaxed Hf5HgRh4 crystal, computed with GGA-PBE.

abc: 3.2124 3.2124 17.6970
angles: 90.00 90.00 90.00
Fractional coordinates of all 10 atoms:
Hf (0.0000, 0.0000, 0.0000)
Hf (0.0000, 0.0000, 0.1903)
Hf (0.0000, 0.0000, 0.3797)
Hf (0.0000, 0.0000, 0.6203)
Hf (0.0000, 0.0000, 0.8097)
Hg (0.5000, 0.5000, 0.5000)
Rh (0.5000, 0.5000, 0.0945)
Rh (0.5000, 0.5000, 0.2829)
Rh (0.5000, 0.5000, 0.7171)
Rh (0.5000, 0.5000, 0.9055)

Space-group type: P4/mmm
E_tot: -8.649 eV per atom

***

5.
A relaxed Er3Ag3IrO8 crystal, computed with GGA-PBE.

abc: 6.6873 6.6873 6.9728
angles: 118.79 118.79 60.01
Fractional coordinates of all 15 atoms:
Er (0.0000, 0.0000, 0.0000)
Er (0.0000, 0.5000, 0.0000)
Er (0.5000, 0.0000, 0.0000)
Ag (0.0000, 0.5000, 0.5000)
Ag (0.5000, 0.0000, 0.5000)
Ag (0.5000, 0.5000, 0.5000)
Ir (0.5000, 0.5000, 0.0000)
O (0.2275, 0.2275, 0.1817)
O (0.2586, 0.7154, 0.1884)
O (0.2846, 0.2846, 0.8117)
O (0.2846, 0.7414, 0.8116)
O (0.7154, 0.2586, 0.1884)
O (0.7154, 0.7154, 0.1883)
O (0.7414, 0.2846, 0.8116)
O (0.7725, 0.7725, 0.8183)

Space-group type: C2/m
Formation energy without anion corrections: -1.813 eV/atom

***

6.
A relaxed La3SiO crystal, computed with GGA-PBE.

abc: 7.9983 7.9983 4.0393
angles: 90.00 90.00 106.58
Fractional coordinates of all 10 atoms:
La (0.1776, 0.8224, 0.0000)
La (0.1845, 0.4367, 0.5000)
La (0.4367, 0.1845, 0.5000)
La (0.5633, 0.8155, 0.5000)
La (0.8155, 0.5633, 0.5000)
La (0.8224, 0.1776, 0.0000)
Si (0.0000, 0.0000, 0.5000)
Si (0.5000, 0.5000, 0.0000)
O (0.0000, 0.5000, 0.0000)
O (0.5000, 0.0000, 0.0000)

Space-group type: Cmmm
Formation energy without anion corrections: -1.358 eV/atom

***

7.
A relaxed ScFe3Br crystal, computed with GGA-PBE.

abc: 4.6616 4.6616 4.6616
angles: 90.00 90.00 90.00
Fractional coordinates of all 5 atoms:
Sc (0.0000, 0.0000, 0.0000)
Fe (0.0000, 0.0000, 0.5000)
Fe (0.0000, 0.5000, 0.0000)
Fe (0.5000, 0.0000, 0.0000)
Br (0.5000, 0.5000, 0.5000)

Space-group type: Pm-3m
Formation energy without anion corrections: 1.497 eV/atom

***

8.
A relaxed Sc6CdIn3 crystal, computed with GGA-PBE.

abc: 8.6873 5.0756 10.9939
angles: 90.00 109.34 90.00
Fractional coordinates of all 20 atoms:
Sc (0.0453, 0.2500, 0.4197)
Sc (0.1669, 0.7500, 0.1776)
Sc (0.2499, 0.2500, 0.0102)
Sc (0.3453, 0.7500, 0.7910)
Sc (0.3573, 0.2500, 0.3284)
Sc (0.4165, 0.2500, 0.6234)
Sc (0.5835, 0.7500, 0.3766)
Sc (0.6427, 0.7500, 0.6716)
Sc (0.6547, 0.2500, 0.2090)
Sc (0.7501, 0.7500, 0.9898)
Sc (0.8331, 0.2500, 0.8224)
Sc (0.9547, 0.7500, 0.5803)
Cd (0.4591, 0.7500, 0.0912)
Cd (0.5409, 0.2500, 0.9088)
In (0.0343, 0.7500, 0.8786)
In (0.1276, 0.2500, 0.7169)
In (0.2777, 0.7500, 0.4756)
In (0.7223, 0.2500, 0.5244)
In (0.8724, 0.7500, 0.2831)
In (0.9657, 0.2500, 0.1214)

Space-group type: P2_1/m
E_tot: -5.043 eV per atom

***

9.
A relaxed TlCdIn2Br6 crystal, computed with GGA-PBE.

abc: 8.5809 8.5809 8.5809
angles: 52.07 52.07 52.07
Fractional coordinates of all 10 atoms:
Tl (0.0000, 0.0000, 0.0000)
Cd (0.4843, 0.4843, 0.4843)
In (0.2954, 0.2954, 0.2954)
In (0.8092, 0.8092, 0.8092)
Br (0.0889, 0.4397, 0.6843)
Br (0.2258, 0.8530, 0.5800)
Br (0.4397, 0.6843, 0.0889)
Br (0.5800, 0.2258, 0.8530)
Br (0.6843, 0.0889, 0.4397)
Br (0.8530, 0.5800, 0.2258)

Space-group type: R3
Formation energy without anion corrections: -0.732 eV/atom

***

10.
A relaxed ErIn4 crystal, computed with GGA-PBE.

abc: 6.1554 6.1554 6.1554
angles: 126.96 126.96 78.31
Fractional coordinates of all 5 atoms:
Er (0.0000, 0.0000, 0.0000)
In (0.2500, 0.7500, 0.5000)
In (0.3551, 0.3551, 0.0000)
In (0.6449, 0.6449, 0.0000)
In (0.7500, 0.2500, 0.5000)

Space-group type: I4/mmm
E_tot: -3.018 eV per atom

***

11.
A relaxed MgInIN2 crystal, computed with GGA-PBE.

abc: 4.5280 4.5280 6.0802
angles: 90.00 90.00 90.00
Fractional coordinates of all 5 atoms:
Mg (0.0000, 0.0000, 0.0000)
In (0.5000, 0.5000, 0.5000)
I (0.0000, 0.0000, 0.5000)
N (0.0000, 0.5000, 0.0000)
N (0.5000, 0.0000, 0.0000)

Space-group type: P4/mmm
Formation energy without anion corrections: 1.045 eV/atom

***

12.
A relaxed Rb2SrHgF6 crystal, computed with GGA-PBE.

abc: 6.5290 6.6283 11.3176
angles: 90.00 125.00 90.00
Fractional coordinates of all 20 atoms:
Rb (0.2404, 0.0384, 0.2496)
Rb (0.2404, 0.4616, 0.7496)
Rb (0.7596, 0.5384, 0.2504)
Rb (0.7596, 0.9616, 0.7504)
Sr (0.5000, 0.0000, 0.0000)
Sr (0.5000, 0.5000, 0.5000)
Hg (0.0000, 0.0000, 0.5000)
Hg (0.0000, 0.5000, 0.0000)
F (0.1649, 0.2140, 0.9584)
F (0.1649, 0.2860, 0.4584)
F (0.2449, 0.7083, 0.9581)
F (0.2449, 0.7917, 0.4581)
F (0.3247, 0.0275, 0.7462)
F (0.3247, 0.4725, 0.2462)
F (0.6753, 0.5275, 0.7538)
F (0.6753, 0.9725, 0.2538)
F (0.7551, 0.2083, 0.5419)
F (0.7551, 0.2917, 0.0419)
F (0.8351, 0.7140, 0.5416)
F (0.8351, 0.7860, 0.0416)

Space-group type: P2_1/c
Formation energy without anion corrections: -2.704 eV/atom

***

13.
A relaxed Ca2Zr crystal, computed with GGA-PBE.

abc: 8.5953 3.5049 13.2207
angles: 90.00 90.00 90.00
Fractional coordinates of all 12 atoms:
Ca (0.1411, 0.2500, 0.2202)
Ca (0.1750, 0.2500, 0.9393)
Ca (0.3250, 0.7500, 0.4393)
Ca (0.3589, 0.7500, 0.7202)
Ca (0.6411, 0.2500, 0.2798)
Ca (0.6750, 0.2500, 0.5607)
Ca (0.8250, 0.7500, 0.0607)
Ca (0.8589, 0.7500, 0.7798)
Zr (0.0628, 0.2500, 0.5831)
Zr (0.4372, 0.7500, 0.0831)
Zr (0.5628, 0.2500, 0.9169)
Zr (0.9372, 0.7500, 0.4169)

Space-group type: Pnma
E_tot: -3.932 eV per atom

***

14.
A relaxed LaAlIn3 crystal, computed with GGA-PBE.

abc: 5.2593 5.2593 5.2593
angles: 90.00 90.00 90.00
Fractional coordinates of all 5 atoms:
La (0.0000, 0.0000, 0.0000)
Al (0.5000, 0.5000, 0.5000)
In (0.0000, 0.5000, 0.5000)
In (0.5000, 0.0000, 0.5000)
In (0.5000, 0.5000, 0.0000)

Space-group type: Pm-3m
E_tot: -3.339 eV per atom

***

15.
A relaxed CsScTe2 crystal, computed with GGA-PBE.

abc: 8.6238 5.5779 13.2960
angles: 90.00 90.00 90.00
Fractional coordinates of all 16 atoms:
Cs (0.1384, 0.2500, 0.1257)
Cs (0.3616, 0.7500, 0.6257)
Cs (0.6384, 0.2500, 0.3743)
Cs (0.8616, 0.7500, 0.8743)
Sc (0.0630, 0.7500, 0.3795)
Sc (0.4370, 0.2500, 0.8795)
Sc (0.5630, 0.7500, 0.1205)
Sc (0.9370, 0.2500, 0.6205)
Te (0.1247, 0.2500, 0.4391)
Te (0.1383, 0.2500, 0.7805)
Te (0.3617, 0.7500, 0.2805)
Te (0.3753, 0.7500, 0.9391)
Te (0.6247, 0.2500, 0.0609)
Te (0.6383, 0.2500, 0.7195)
Te (0.8617, 0.7500, 0.2195)
Te (0.8753, 0.7500, 0.5609)

Space-group type: Pnma
Formation energy without anion corrections: -1.192 eV/atom

***

16.
A relaxed MgNiSb2 crystal, computed with GGA-PBE.

abc: 4.8794 4.8794 3.5328
angles: 91.33 91.33 101.37
Fractional coordinates of all 4 atoms:
Mg (0.0000, 0.0000, 0.0000)
Ni (0.5000, 0.5000, 0.0000)
Sb (0.0000, 0.5000, 0.5000)
Sb (0.5000, 0.0000, 0.5000)

Space-group type: C2/m
Formation energy without anion corrections: 0.090 eV/atom

***

17.
A relaxed Tl2VCrCo crystal, computed with GGA-PBE.

abc: 5.1700 5.1700 4.1336
angles: 90.00 90.00 90.00
Fractional coordinates of all 5 atoms:
Tl (0.0000, 0.5000, 0.0000)
Tl (0.5000, 0.0000, 0.0000)
V (0.0000, 0.0000, 0.0000)
Cr (0.5000, 0.5000, 0.5000)
Co (0.0000, 0.0000, 0.5000)

Space-group type: P4/mmm
E_tot: -4.548 eV per atom

***

18.
A relaxed FeSi crystal, computed with GGA-PBE.

abc: 4.4201 4.4201 3.9961
angles: 106.20 106.20 35.56
Fractional coordinates of all 4 atoms:
Fe (0.1200, 0.1200, 0.3013)
Fe (0.8800, 0.8800, 0.6987)
Si (0.3775, 0.3775, 0.1928)
Si (0.6225, 0.6225, 0.8072)

Space-group type: C2/m
Formation energy without anion corrections: -0.421 eV/atom

***

19.
A relaxed CsZrUO6 crystal, computed with GGA-PBE.

abc: 7.8500 7.8500 7.8500
angles: 120.83 118.32 90.75
Fractional coordinates of all 18 atoms:
Cs (0.3625, 0.1125, 0.2500)
Cs (0.6375, 0.8875, 0.7500)
Zr (0.0000, 0.0000, 0.5000)
Zr (0.0000, 0.5000, 0.0000)
U (0.0000, 0.5000, 0.5000)
U (0.5000, 0.5000, 0.0000)
O (0.0609, 0.4356, 0.2529)
O (0.0609, 0.8081, 0.6253)
O (0.0655, 0.8155, 0.2500)
O (0.3159, 0.5659, 0.7500)
O (0.3173, 0.1919, 0.7529)
O (0.3173, 0.5644, 0.1253)
O (0.6827, 0.4356, 0.8747)
O (0.6827, 0.8081, 0.2471)
O (0.6841, 0.4341, 0.2500)
O (0.9345, 0.1845, 0.7500)
O (0.9391, 0.1919, 0.3747)
O (0.9391, 0.5644, 0.7471)

Space-group type: Imma
Formation energy without anion corrections: -2.735 eV/atom

***

20.
A relaxed Li2AlH4 crystal, computed with GGA-PBE.

abc: 5.0127 5.0127 4.5897
angles: 111.52 111.52 35.86
Fractional coordinates of all 7 atoms:
Li (0.1900, 0.1900, 0.1765)
Li (0.8100, 0.8100, 0.8235)
Al (0.5000, 0.5000, 0.5000)
H (0.1017, 0.1017, 0.4537)
H (0.3724, 0.3724, 0.0894)
H (0.6276, 0.6276, 0.9106)
H (0.8983, 0.8983, 0.5463)

Space-group type: C2/m
E_tot: -3.098 eV per atom

***

| no. | density of states at the Fermi level (states/eV/cell) |
| --- | --- |
| 1 | 11.3 |
| 2 | 9.1 |
| 3 | 3.6 |
| 4 | 7.8 |
| 5 | 7.7 |
| 6 | 8.6 |
| 7 | 5.4 |
| 8 | 22.8 |
| 9 | 5.8 |
| 10 | 2.9 |
| 11 | 1.3 |
| 12 | 0.0 |
| 13 | 17.6 |
| 14 | 3.3 |
| 15 | 0.0 |
| 16 | 2.0 |
| 17 | 5.1 |
| 18 | 3.2 |
| 19 | 16.6 |
| 20 | 0.7 |